DFT (PBE+U) results for a relaxed AcMoO5 crystal.

abc: 7.9790 7.9790 4.5902
angles: 90.00 90.00 90.00
Last column: nearest neighbours and their distance in Å.
Space group P4/nmm (No. 129, origin choice 2)
One atom of each set of equivalent atoms:
Ac: 0.2500 0.2500 0.2279 [2 per cell]  6 O 2.29-2.52
Mo: 0.2500 0.7500 0.5000 [2 per cell]  4 O 1.80
O: 0.0650 0.7500 0.7229 [8 per cell]  1 Mo 1.80
O: 0.2500 0.2500 0.7293 [2 per cell]  2 Ac 2.29-2.30

Calculated values
The final energy comes out at -50.2 eV per formula unit.